DFT (PBE) results for crystalline NaCeAs2 at its relaxed geometry.

The value obtained for the energy above the most stable polymorph in this dataset is 52 meV/atom. For the total DFT energy (no corrections), the calculation gives -4.847 eV per atom. Its density of states at the Fermi level is 15.9 states/eV per cell. As for the crystal system: trigonal. The formation energy is -0.71 eV/atom.

The space group is R-3m (No. 166, hexagonal axes) and the conventional cell measures 4.4247, 4.4247 and 18.7673 Å, with angles of 90.00, 90.00 and 120.00 degrees. The asymmetric unit holds Na at (0.0000, 0.0000, 0.0000), Ce at (0.0000, 0.0000, 0.5000) and As at (0.0000, 0.0000, 0.2406).